Model i:
# Pr3DyEr6

A geometry-optimized Pr3DyEr6 structure (PBE, Alexandria).

Values from the calculation:
The calculated volume comes out at 655 Å³ per cell. The value obtained for the total magnetization is 0.00 μB per formula unit. As for the mass density: 8.1 g cm⁻³.

The structure in extended XYZ format:
```
20
Lattice="-1.728 -2.695 -5.455 9.674 2.590 -4.344 -1.225 -9.567 5.114" Properties=species:S:1:pos:R:3 pbc="T T T"
Pr 7.391 -5.626 -2.964
Pr 4.066 -9.718 -3.556
Pr 2.892 -5.026 1.067
Pr 4.457 -3.665 -3.768
Pr -1.409 -5.198 -4.055
Pr 1.916 -1.106 -3.463
Dy 0.684 -7.539 2.536
Dy 6.443 -1.499 -5.939
Er 6.061 -4.209 -0.172
Er 4.186 -6.684 -2.022
Er 3.329 -8.730 0.530
Er 7.049 -4.966 -6.175
Er 8.593 1.096 -6.014
Er 0.621 -8.004 -0.989
Er 6.455 -1.114 -2.575
Er -2.304 -11.442 -0.034
Er -0.749 -5.363 0.158
Er 2.970 -1.599 -6.546
Er 3.243 -1.883 -0.428
Er 1.369 -4.358 -2.279
```



Model ii:
# Pr3DyEr6

A geometry-optimized Pr3DyEr6 structure (PBE, Alexandria).

Values from the calculation:
The calculated volume comes out at 333 Å³ per cell. The value obtained for the total magnetization is 0.00 μB per formula unit. As for the mass density: 7.9 g cm⁻³.

The structure in extended XYZ format:
```
10
Lattice="-4.252 0.889 -4.909 7.200 3.278 -5.643 1.228 -6.139 2.202" Properties=species:S:1:pos:R:3 pbc="T T T"
Pr -0.735 -3.452 -4.365
Pr 4.910 1.479 -3.985
Pr 0.000 0.000 0.000
Dy 1.474 2.083 -5.276
Er 0.842 -0.863 -3.106
Er 5.429 -1.547 -2.826
Er 3.334 -1.110 -5.245
Er -1.253 -0.425 -5.525
Er -0.087 -3.893 -0.629
Er 4.263 1.920 -7.721
```



model i wins, 76 meV/atom ahead of the next structure.



Model i:
# Pr4Dy2Er5

A geometry-optimized Pr4Dy2Er5 structure (PBE, Alexandria).

Values from the calculation:
The calculated volume comes out at 373 Å³ per cell. The value obtained for the total magnetization is 0.00 μB per formula unit. As for the mass density: 7.7 g cm⁻³.

The structure in extended XYZ format:
```
11
Lattice="-0.980 -2.267 -2.498 8.875 -2.071 -1.604 -4.490 -6.224 9.881" Properties=species:S:1:pos:R:3 pbc="T T T"
Pr 2.589 -0.604 -0.468
Pr 3.843 -3.786 -0.542
Pr 6.286 -1.466 -1.136
Pr -0.438 -6.775 6.320
Dy -0.293 -4.527 4.224
Dy 3.698 -6.034 1.555
Er -3.551 -6.418 4.749
Er 1.807 -7.668 3.780
Er 1.598 -2.893 1.998
Er 6.956 -4.143 1.030
Er -0.490 -1.133 -1.249
```



Model ii:
# Pr4Dy2Er5

A geometry-optimized Pr4Dy2Er5 structure (PBE, Alexandria).

Values from the calculation:
The calculated volume comes out at 362 Å³ per cell. The value obtained for the total magnetization is 0.01 μB per formula unit. As for the mass density: 7.9 g cm⁻³.

The structure in extended XYZ format:
```
11
Lattice="5.509 0.000 -1.344 -0.318 6.515 -1.303 -0.522 1.808 9.823" Properties=species:S:1:pos:R:3 pbc="T T T"
Pr 1.073 7.141 4.401
Pr 4.665 6.382 7.159
Pr 3.595 1.182 2.775
Pr 0.004 1.942 0.016
Dy 1.652 4.343 6.771
Dy 3.017 3.980 0.404
Er 3.862 4.948 3.867
Er 0.807 3.376 3.309
Er 4.367 2.076 5.941
Er 2.754 0.000 -0.672
Er 0.301 6.247 1.235
```



model ii wins, 190 meV/atom ahead of the next structure.



Model i:
# Pr4Dy4Er3

A geometry-optimized Pr4Dy4Er3 structure (PBE, Alexandria).

Values from the calculation:
The calculated volume comes out at 360 Å³ per cell. The value obtained for the total magnetization is 0.00 μB per formula unit. As for the mass density: 7.9 g cm⁻³.

The structure in extended XYZ format:
```
11
Lattice="-1.382 2.454 -2.143 -4.632 0.272 3.298 4.686 14.206 10.326" Properties=species:S:1:pos:R:3 pbc="T T T"
Pr 2.602 13.112 7.492
Pr 0.550 7.300 5.083
Pr -1.878 9.632 6.397
Pr -3.929 3.820 3.988
Dy 0.981 14.409 10.022
Dy -2.308 2.524 1.460
Dy -2.545 6.133 5.745
Dy 1.217 10.798 5.735
Er 0.286 10.869 9.337
Er -1.614 6.063 2.143
Er 0.000 0.000 0.000
```



Model ii:
# Pr4Dy4Er3

A geometry-optimized Pr4Dy4Er3 structure (PBE, Alexandria).

Values from the calculation:
The calculated volume comes out at 373 Å³ per cell. The value obtained for the total magnetization is 0.00 μB per formula unit. As for the mass density: 7.6 g cm⁻³.

The structure in extended XYZ format:
```
11
Lattice="-1.708 0.458 3.163 -7.708 -4.183 -3.557 8.387 -7.796 3.582" Properties=species:S:1:pos:R:3 pbc="T T T"
Pr -2.274 -3.906 1.413
Pr 3.989 -6.125 3.041
Pr 1.245 -7.614 1.775
Pr -5.018 -5.395 0.147
Dy 0.899 -4.374 3.195
Dy -1.929 -7.146 -0.007
Dy -7.154 -3.190 -1.326
Dy -2.261 -0.535 0.932
Er -1.811 -9.468 2.469
Er 0.782 -2.052 0.719
Er -3.854 -2.091 -1.778
```



model i wins, 56 meV/atom ahead of the next structure.



Model i:
# Pr2Dy4Er

A geometry-optimized Pr2Dy4Er structure (PBE, Alexandria).

Values from the calculation:
The calculated volume comes out at 264 Å³ per cell. The value obtained for the total magnetization is 0.36 μB per formula unit. As for the mass density: 6.9 g cm⁻³.

The structure in extended XYZ format:
```
7
Lattice="5.524 0.000 0.000 0.000 5.524 0.000 -2.762 -2.762 8.656" Properties=species:S:1:pos:R:3 pbc="T T T"
Pr 2.762 2.762 2.161
Pr 0.000 0.000 6.495
Dy 2.762 2.762 5.616
Dy 0.000 0.000 3.040
Dy 0.000 2.762 0.000
Dy 2.762 0.000 0.000
Er 0.000 0.000 0.000
```



Model ii:
# Pr2Dy4Er

A geometry-optimized Pr2Dy4Er structure (PBE, Alexandria).

Values from the calculation:
The calculated volume comes out at 933 Å³ per cell. The value obtained for the total magnetization is 0.00 μB per formula unit. As for the mass density: 7.8 g cm⁻³.

The structure in extended XYZ format:
```
28
Lattice="3.630 0.000 0.000 0.000 15.005 1.185 0.000 2.197 17.298" Properties=species:S:1:pos:R:3 pbc="T T T"
Pr 0.004 15.322 15.875
Pr 1.819 9.382 3.199
Pr 3.630 6.394 11.959
Pr 1.815 3.306 5.931
Pr 3.626 1.880 2.607
Pr 1.811 7.819 15.283
Pr 0.000 10.808 6.524
Pr 1.815 13.896 12.551
Dy 3.629 11.408 10.631
Dy 1.814 13.296 8.444
Dy 3.628 4.999 16.532
Dy 1.813 4.700 1.359
Dy 0.001 5.793 7.851
Dy 1.816 3.906 10.039
Dy 0.002 12.202 1.951
Dy 1.817 12.502 17.124
Dy 3.630 1.805 11.800
Dy 1.815 7.895 6.091
Dy 0.000 11.226 14.454
Dy 1.815 13.478 4.620
Dy 0.000 15.397 6.683
Dy 1.815 9.307 12.392
Dy 3.630 5.975 4.028
Dy 1.815 3.724 13.862
Er 0.000 1.098 8.649
Er 1.815 8.601 9.241
Er 0.000 7.502 0.592
Er 1.815 0.000 0.000
```



model ii wins, 544 meV/atom ahead of the next structure.



Model i:
# Pr4Dy2Er3

A geometry-optimized Pr4Dy2Er3 structure (PBE, Alexandria).

Values from the calculation:
The calculated volume comes out at 600 Å³ per cell. The value obtained for the total magnetization is 0.00 μB per formula unit. As for the mass density: 7.7 g cm⁻³.

The structure in extended XYZ format:
```
18
Lattice="-4.454 -3.450 -4.360 -0.819 -4.482 7.236 -4.692 7.264 7.642" Properties=species:S:1:pos:R:3 pbc="T T T"
Pr -3.723 -3.193 6.242
Pr -9.215 -0.071 9.249
Pr -6.242 2.525 4.276
Pr -0.749 -0.597 1.268
Pr -5.682 -0.774 0.540
Pr -6.620 1.950 7.948
Pr -4.283 0.106 9.978
Pr -3.345 -2.618 2.570
Dy -3.452 0.953 2.747
Dy -4.409 3.688 10.132
Dy -6.513 -1.621 7.770
Dy -5.556 -4.356 0.386
Er -5.899 -4.903 4.041
Er -6.986 1.665 11.436
Er -4.065 4.235 6.476
Er -2.979 -2.333 -0.919
Er -3.849 0.523 6.344
Er -6.116 -1.191 4.173
```



Model ii:
# Pr4Dy2Er3

A geometry-optimized Pr4Dy2Er3 structure (PBE, Alexandria).

Values from the calculation:
The calculated volume comes out at 596 Å³ per cell. The value obtained for the total magnetization is 0.00 μB per formula unit. As for the mass density: 7.7 g cm⁻³.

The structure in extended XYZ format:
```
18
Lattice="-3.211 5.225 1.034 -8.845 -4.658 1.321 -1.278 -1.696 9.857" Properties=species:S:1:pos:R:3 pbc="T T T"
Pr -9.811 -2.004 3.587
Pr -7.316 -3.851 2.017
Pr -3.523 0.875 8.624
Pr -6.018 2.723 10.195
Pr -5.406 2.313 6.266
Pr -7.416 0.000 8.851
Pr -7.928 -3.441 5.946
Pr -5.918 -1.129 3.361
Dy -2.929 0.439 4.714
Dy -6.688 -3.354 9.363
Dy -10.405 -1.568 7.498
Dy -6.646 2.225 2.849
Er -3.849 3.978 3.669
Er -9.568 -1.898 10.778
Er -9.485 -5.107 8.543
Er -3.766 0.770 1.434
Er -5.133 -1.585 6.672
Er -8.201 0.456 5.540
```



model i wins, 42 meV/atom ahead of the next structure.



Model i:
# Pr2Dy5Er12

A geometry-optimized Pr2Dy5Er12 structure (PBE, Alexandria).

Values from the calculation:
The calculated volume comes out at 594 Å³ per cell. The value obtained for the total magnetization is 0.00 μB per formula unit. As for the mass density: 8.7 g cm⁻³.

The structure in extended XYZ format:
```
19
Lattice="5.915 1.578 -0.183 -1.397 8.503 -6.184 -0.195 -1.865 12.600" Properties=species:S:1:pos:R:3 pbc="T T T"
Pr 2.093 6.548 4.956
Pr 2.230 1.667 1.278
Dy 0.780 3.403 3.992
Dy -0.045 5.816 -2.596
Dy -0.098 -0.932 6.300
Dy 4.369 2.400 8.829
Dy 3.543 4.813 2.242
Er 5.401 1.839 2.842
Er -0.662 5.140 6.713
Er 2.708 7.190 -4.328
Er 0.365 4.637 0.683
Er 3.119 6.016 -1.053
Er 1.669 7.770 1.654
Er 2.654 0.446 4.579
Er 3.959 3.579 5.550
Er 1.205 2.200 7.286
Er 4.985 3.076 -0.479
Er 1.615 1.026 10.561
Er -1.078 6.377 3.392
```



Model ii:
# Pr2Dy5Er12

A geometry-optimized Pr2Dy5Er12 structure (PBE, Alexandria).

Values from the calculation:
The calculated volume comes out at 611 Å³ per cell. The value obtained for the total magnetization is 0.00 μB per formula unit. As for the mass density: 8.4 g cm⁻³.

The structure in extended XYZ format:
```
19
Lattice="9.179 0.000 0.000 -4.590 11.328 -1.577 0.000 -5.295 6.617" Properties=species:S:1:pos:R:3 pbc="T T T"
Pr 6.306 0.000 0.000
Pr 2.873 0.000 0.000
Dy 0.000 3.613 3.100
Dy 0.000 0.570 5.144
Dy 0.000 -2.648 3.309
Dy 4.590 5.463 -0.105
Dy 4.590 2.420 1.940
Er 0.000 0.522 1.725
Er -2.930 2.833 5.087
Er 2.930 2.833 5.087
Er -1.757 6.354 1.456
Er 1.757 6.354 1.456
Er 4.590 -2.871 5.015
Er 0.000 8.904 0.025
Er 6.347 -0.322 3.584
Er 2.833 -0.322 3.584
Er 7.520 3.200 -0.048
Er 1.659 3.200 -0.048
Er 4.590 5.511 3.315
```



model i wins, 112 meV/atom ahead of the next structure.



Model i:
# Pr4DyEr4

A geometry-optimized Pr4DyEr4 structure (PBE, Alexandria).

Values from the calculation:
The calculated volume comes out at 301 Å³ per cell. The value obtained for the total magnetization is 0.00 μB per formula unit. As for the mass density: 7.7 g cm⁻³.

The structure in extended XYZ format:
```
9
Lattice="-5.536 1.148 0.261 -4.379 -7.601 2.132 -3.299 -3.628 7.521" Properties=species:S:1:pos:R:3 pbc="T T T"
Pr -3.170 -1.895 2.546
Pr -10.044 -8.185 7.368
Pr -9.315 -4.828 8.083
Pr -3.900 -5.252 1.831
Dy -2.768 0.574 0.131
Er -6.397 -3.740 3.592
Er -9.741 -6.117 4.685
Er -6.818 -6.341 6.322
Er -3.474 -3.964 5.228
```



Model ii:
# Pr4DyEr4

A geometry-optimized Pr4DyEr4 structure (PBE, Alexandria).

Values from the calculation:
The calculated volume comes out at 297 Å³ per cell. The value obtained for the total magnetization is 0.00 μB per formula unit. As for the mass density: 7.8 g cm⁻³.

The structure in extended XYZ format:
```
9
Lattice="5.077 0.000 0.000 2.538 7.653 0.000 2.538 0.000 7.653" Properties=species:S:1:pos:R:3 pbc="T T T"
Pr 7.615 5.100 7.652
Pr 2.538 2.553 0.001
Pr 5.077 0.001 5.100
Pr 5.077 7.652 2.553
Dy 0.000 0.000 0.000
Er 5.077 2.572 2.572
Er 5.077 5.081 5.081
Er 7.615 5.081 2.572
Er 2.538 2.572 5.081
```



model ii wins, 84 meV/atom ahead of the next structure.



Model i:
# Pr8Dy2Er

A geometry-optimized Pr8Dy2Er structure (PBE, Alexandria).

Values from the calculation:
The calculated volume comes out at 393 Å³ per cell. The value obtained for the total magnetization is 0.00 μB per formula unit. As for the mass density: 6.8 g cm⁻³.

The structure in extended XYZ format:
```
11
Lattice="8.078 1.526 2.954 2.973 7.534 4.506 2.472 2.110 8.680" Properties=species:S:1:pos:R:3 pbc="T T T"
Pr 4.692 4.731 9.442
Pr 8.589 3.813 8.719
Pr 6.463 7.596 10.647
Pr 7.060 3.575 5.493
Pr 4.935 7.357 7.421
Pr 8.832 6.440 6.697
Pr 9.591 7.054 10.319
Pr 3.933 4.116 5.821
Dy 8.909 9.085 12.876
Dy 4.614 2.085 3.264
Er 0.000 0.000 0.000
```



Model ii:
# Pr8Dy2Er

A geometry-optimized Pr8Dy2Er structure (PBE, Alexandria).

Values from the calculation:
The calculated volume comes out at 388 Å³ per cell. The value obtained for the total magnetization is 0.00 μB per formula unit. As for the mass density: 6.9 g cm⁻³.

The structure in extended XYZ format:
```
11
Lattice="6.372 1.808 1.372 2.112 9.725 3.061 2.112 5.567 8.542" Properties=species:S:1:pos:R:3 pbc="T T T"
Pr 3.953 8.385 8.423
Pr 6.644 6.731 7.167
Pr 4.254 11.854 8.994
Pr 6.343 5.246 3.980
Pr 3.953 10.369 5.808
Pr 6.644 8.714 4.552
Pr 7.144 10.425 7.910
Pr 3.453 6.675 5.065
Dy 7.094 13.376 10.149
Dy 3.503 3.724 2.826
Er 0.000 0.000 0.000
```



model ii wins, 31 meV/atom ahead of the next structure.



Model i:
# Pr2Dy6Er3

A geometry-optimized Pr2Dy6Er3 structure (PBE, Alexandria).

Values from the calculation:
The calculated volume comes out at 373 Å³ per cell. The value obtained for the total magnetization is 0.00 μB per formula unit. As for the mass density: 7.8 g cm⁻³.

The structure in extended XYZ format:
```
11
Lattice="-1.688 3.661 -4.583 2.359 -0.806 -5.577 -9.181 -5.991 -4.144" Properties=species:S:1:pos:R:3 pbc="T T T"
Pr -3.300 -2.922 -6.553
Pr -5.210 -0.214 -7.751
Dy -6.059 -3.539 -8.749
Dy -8.193 -1.780 -6.559
Dy -6.282 -4.491 -5.363
Dy -2.676 -0.550 -2.167
Dy -2.451 0.403 -5.555
Dy -2.228 1.356 -8.941
Er 0.000 0.000 0.000
Er 0.215 0.959 -3.378
Er 0.456 1.897 -6.782
```



Model ii:
# Pr2Dy6Er3

A geometry-optimized Pr2Dy6Er3 structure (PBE, Alexandria).

Values from the calculation:
The calculated volume comes out at 373 Å³ per cell. The value obtained for the total magnetization is 0.00 μB per formula unit. As for the mass density: 7.8 g cm⁻³.

The structure in extended XYZ format:
```
11
Lattice="-4.222 0.865 1.958 -2.117 -1.047 -4.102 2.056 -15.868 5.722" Properties=species:S:1:pos:R:3 pbc="T T T"
Pr -1.010 -14.479 4.218
Pr -3.273 -1.572 -0.641
Dy -1.332 -4.448 -0.908
Dy -2.385 -3.492 2.122
Dy -2.951 -11.603 4.485
Dy -1.898 -12.559 1.455
Dy -3.607 -6.367 0.756
Dy -0.676 -9.684 2.821
Er 0.000 0.000 0.000
Er -3.835 -9.634 1.708
Er -0.448 -6.417 1.869
```



model i wins, 93 meV/atom ahead of the next structure.